No. 1
The following is a PBE calculation of a relaxed TbTh crystal, from Alexandria via LeMat-Bulk.

abc: 3.5922 3.5922 11.7135
angles: 98.84 98.84 60.01
Sites, in units of the cell vectors:
Tb1 0.1244 0.1244 0.3723
Tb2 0.8756 0.8756 0.6277
Th1 0.2915 0.2915 0.8765
Th2 0.7085 0.7085 0.1235

Results
Offset from the most stable computed form   0.000 eV per atom
ρ   10.08 Mg/m³
Energy of formation   9.5 meV per atom
Magnetization   0.0 μB per cell
Space-group type   No. 12

***

No. 2
The following is a PBE calculation of a relaxed Cd2CuAu5 crystal, from Alexandria via LeMat-Bulk.

abc: 8.6556 8.6556 8.6556
angles: 151.80 151.80 40.31
Sites, in units of the cell vectors:
Cd1 0.2485 0.2485 0.0000
Cd2 0.7515 0.7515 0.0000
Cu1 0.5000 0.5000 0.0000
Au1 0.0000 0.0000 0.0000
Au2 0.1194 0.6194 0.5000
Au3 0.3806 0.8806 0.5000
Au4 0.6194 0.1194 0.5000
Au5 0.8806 0.3806 0.5000

Results
ρ   14.63 Mg/m³
Energy of formation   -66.8 meV per atom
Magnetization   0.0 μB per cell
Space-group type   No. 139

***

No. 3
The following is a PBE calculation of a relaxed TcHg2Os crystal, from Alexandria via LeMat-Bulk.

abc: 5.7108 5.7108 5.7108
angles: 150.71 128.32 60.51
Sites, in units of the cell vectors:
Tc1 0.0000 0.0000 0.0000
Hg1 0.2516 0.7516 0.5000
Hg2 0.7484 0.2484 0.5000
Os1 0.5000 0.5000 0.0000

Results
Offset from the most stable computed form   0.580 eV per atom
ρ   16.14 Mg/m³
Energy of formation   902.7 meV per atom
Magnetization   1.1 μB per cell
Space-group type   No. 71

***

ρ of number 2 (Cd2CuAu5)? 14.63 Mg/m³

***

What did the second record say?
The following is a PBE calculation of a relaxed Cd2CuAu5 crystal, from Alexandria via LeMat-Bulk.

abc: 8.6556 8.6556 8.6556
angles: 151.80 151.80 40.31
Sites, in units of the cell vectors:
Cd1 0.2485 0.2485 0.0000
Cd2 0.7515 0.7515 0.0000
Cu1 0.5000 0.5000 0.0000
Au1 0.0000 0.0000 0.0000
Au2 0.1194 0.6194 0.5000
Au3 0.3806 0.8806 0.5000
Au4 0.6194 0.1194 0.5000
Au5 0.8806 0.3806 0.5000

Results
ρ   14.63 Mg/m³
Energy of formation   -66.8 meV per atom
Magnetization   0.0 μB per cell
Space-group type   No. 139

***

What is the energy of formation in the third record? 902.7 meV per atom